This record from the Open Quantum Materials Database describes an optimized crystal structure of YErHg6. The functional is PBE-GGA.

a b c (Å): 6.5890 6.5890 4.9921
angles (deg): 90.00 90.00 120.00
Atoms (fractional coordinates):
Hg  0.5004  0.4996  0.5000
Y  0.3333  0.6667  0.0000
Hg  0.5004  0.0009  0.5000
Hg  0.8336  0.1664  0.0000
Hg  0.8336  0.6672  0.0000
Hg  0.3328  0.1664  0.0000
Er  0.0000  0.0000  0.5000
Hg  0.9991  0.4996  0.5000

Energy relative to the lowest polymorph listed for this composition in meV per atom: 0
Uncorrected energy in eV for the cell shown: -15.538
Spin magnetization in μB/f.u.: 0.000
E_form in eV per atom: -0.34